# 1
This record from Alexandria describes Mg8Sb after structural relaxation. The functional is GGA-PBEsol.

Cell lengths 9.5840, 9.5840, 4.4425 Å; angles 90.00, 90.00, 90.00 degrees
Space group I4/mmm (No. 139)
One atom of each set of equivalent atoms:
1 Mg 0.0000 0.3349 0.0000 (multiplicity 8)
2 Mg 0.1687 0.1687 0.5000 (multiplicity 8)
3 Sb 0.0000 0.0000 0.0000 (multiplicity 2)

Results
For the total energy, the calculation gives -2.09 eV per atom. Its formation energy (no corrections) is -6.0 kJ/mol of atoms.

# 2
This record from Alexandria describes Ti2Re2Pb after structural relaxation. The functional is GGA-PBEsol.

Cell lengths 4.1703, 4.1703, 10.7589 Å; angles 90.00, 90.00, 90.00 degrees
Space group I4/mmm (No. 139)
One atom of each set of equivalent atoms:
1 Ti 0.0000 0.5000 0.2500 (multiplicity 4)
2 Re 0.0000 0.0000 0.1126 (multiplicity 4)
3 Pb 0.0000 0.0000 0.5000 (multiplicity 2)

Results
For the total energy, the calculation gives -8.97 eV per atom. As for the formation energy: 0.493 eV/atom.

# 3
This record from Alexandria describes Sn5S4Cl2 after structural relaxation. The functional is GGA-PBEsol.

Cell lengths 7.1044, 8.8830, 10.3778 Å; angles 67.11, 71.00, 67.11 degrees
Space group P-1 (No. 2)
One atom of each set of equivalent atoms:
1 Sn 0.0719 0.2929 0.2332 (multiplicity 2)
2 Sn 0.2221 0.1432 0.9376 (multiplicity 2)
3 Sn 0.2367 0.3510 0.5770 (multiplicity 2)
4 Sn 0.3270 0.7692 0.2907 (multiplicity 2)
5 Sn 0.4006 0.7848 0.7422 (multiplicity 2)
6 S 0.0002 0.0129 0.1924 (multiplicity 2)
7 S 0.1718 0.5290 0.3162 (multiplicity 2)
8 S 0.2793 0.6280 0.5800 (multiplicity 2)
9 S 0.4812 0.8474 0.9515 (multiplicity 2)
10 Cl 0.2438 0.5525 0.9427 (multiplicity 2)
11 Cl 0.2543 0.0417 0.4410 (multiplicity 2)

Results
For the total energy, the calculation gives -4.41 eV per atom. The value obtained for the energy above the most stable polymorph in this dataset is 35.9 meV per atom. Its formation energy (no corrections) is -50.1 kJ/mol of atoms.

# 4
This record from Alexandria describes Ca2TaBiOs after structural relaxation. The functional is GGA-PBEsol.

Cell lengths 5.4421, 5.4421, 5.2481 Å; angles 90.00, 90.00, 90.00 degrees
Space group P4/mmm (No. 123)
One atom of each set of equivalent atoms:
1 Ca 0.0000 0.5000 0.0000 (multiplicity 2)
2 Ta 0.0000 0.0000 0.0000 (multiplicity 1)
3 Bi 0.0000 0.0000 0.5000 (multiplicity 1)
4 Os 0.5000 0.5000 0.5000 (multiplicity 1)

Results
For the total energy, the calculation gives -4.78 eV per atom. As for the formation energy: 1.883 eV/atom.

# 5
This record from Alexandria describes BeFeCu after structural relaxation. The functional is GGA-PBEsol.

Cell lengths 5.2679, 5.2679, 5.2679 Å; angles 90.00, 90.00, 90.00 degrees
Space group F-43m (No. 216)
One atom of each set of equivalent atoms:
1 Be 0.0000 0.0000 0.0000 (multiplicity 4)
2 Fe 0.0000 0.0000 0.5000 (multiplicity 4)
3 Cu 0.2500 0.2500 0.2500 (multiplicity 4)

Results
For the total energy, the calculation gives -5.18 eV per atom. As for the formation energy: 0.582 eV/atom.

# 6
This record from Alexandria describes SrLi2Fe after structural relaxation. The functional is GGA-PBEsol.

Cell lengths 3.3397, 3.3397, 28.8211 Å; angles 90.00, 90.00, 120.00 degrees
Space group R3m (No. 160, hexagonal axes)
One atom of each set of equivalent atoms:
1 Sr 0.0000 0.0000 0.0000 (multiplicity 3)
2 Li 0.0000 0.0000 0.2283 (multiplicity 3)
3 Li 0.0000 0.0000 0.4790 (multiplicity 3)
4 Fe 0.0000 0.0000 0.7478 (multiplicity 3)

Results
For the total energy, the calculation gives -3.03 eV per atom. The value obtained for the energy above the most stable polymorph in this dataset is 93.1 meV per atom. As for the formation energy: 0.655 eV/atom.

# 7
This record from Alexandria describes BeOs2Pt after structural relaxation. The functional is GGA-PBEsol.

Cell lengths 5.0790, 7.8425, 2.6885 Å; angles 90.00, 90.00, 90.00 degrees
Space group Cmmm (No. 65)
One atom of each set of equivalent atoms:
1 Be 0.0000 0.0000 0.0000 (multiplicity 2)
2 Os 0.2500 0.2500 0.5000 (multiplicity 4)
3 Pt 0.0000 0.5000 0.0000 (multiplicity 2)

Results
For the total energy, the calculation gives -8.56 eV per atom. As for the formation energy: 0.293 eV/atom.

# 8
This record from Alexandria describes Li2CoRh after structural relaxation. The functional is GGA-PBEsol.

Cell lengths 3.0874, 3.0874, 4.9318 Å; angles 90.00, 90.00, 90.00 degrees
Space group P4/mmm (No. 123)
One atom of each set of equivalent atoms:
1 Li 0.0000 0.0000 0.2495 (multiplicity 2)
2 Co 0.5000 0.5000 0.0000 (multiplicity 1)
3 Rh 0.5000 0.5000 0.5000 (multiplicity 1)

Results
For the total energy, the calculation gives -4.67 eV per atom. The value obtained for the energy above the most stable polymorph in this dataset is 267.1 meV per atom. As for the formation energy: 0.287 eV/atom.